{
  "formula": "NdPuB12",
  "functional": "PBE",
  "state": "optimized geometry",
  "lattice_angstrom": [[4.122, 0.000, 0.000], [0.000, 4.122, 0.000], [0.000, 0.000, 8.245]],
  "species": ["Nd", "Pu", "B", "B", "B", "B", "B", "B", "B", "B", "B", "B", "B", "B"],
  "fractional_positions": [[0.000, 0.000, 0.000], [0.000, 0.000, 0.500], [0.199, 0.500, 0.251], [0.199, 0.500, 0.749], [0.500, 0.199, 0.251], [0.500, 0.199, 0.749], [0.500, 0.500, 0.100], [0.500, 0.500, 0.401], [0.500, 0.500, 0.599], [0.500, 0.500, 0.900], [0.500, 0.801, 0.251], [0.500, 0.801, 0.749], [0.801, 0.500, 0.251], [0.801, 0.500, 0.749]]
}

{
  "formula": "Nd2Re3B6",
  "functional": "PBE",
  "state": "optimized geometry",
  "lattice_angstrom": [[3.414, -5.320, 0.000], [3.414, 5.320, 0.000], [-0.137, 0.000, 7.618]],
  "species": ["Nd", "Nd", "Nd", "Nd", "Re", "Re", "Re", "Re", "Re", "Re", "B", "B", "B", "B", "B", "B", "B", "B", "B", "B", "B", "B"],
  "fractional_positions": [[0.058, 0.405, 0.174], [0.405, 0.058, 0.674], [0.595, 0.942, 0.326], [0.942, 0.595, 0.826], [0.085, 0.915, 0.250], [0.305, 0.490, 0.588], [0.490, 0.305, 0.088], [0.510, 0.695, 0.912], [0.695, 0.510, 0.412], [0.915, 0.085, 0.750], [0.059, 0.150, 0.466], [0.085, 0.659, 0.480], [0.150, 0.059, 0.966], [0.256, 0.347, 0.868], [0.341, 0.915, 0.020], [0.347, 0.256, 0.368], [0.653, 0.744, 0.632], [0.659, 0.085, 0.980], [0.744, 0.653, 0.132], [0.850, 0.941, 0.034], [0.915, 0.341, 0.520], [0.941, 0.850, 0.534]]
}

{
  "formula": "NdRe4B4",
  "functional": "PBE",
  "state": "optimized geometry",
  "lattice_angstrom": [[7.493, 0.000, 0.000], [0.000, 7.493, 0.000], [0.000, 0.000, 4.249]],
  "species": ["Nd", "Nd", "Re", "Re", "Re", "Re", "Re", "Re", "Re", "Re", "B", "B", "B", "B", "B", "B", "B", "B"],
  "fractional_positions": [[0.250, 0.250, 0.250], [0.750, 0.750, 0.750], [0.117, 0.625, 0.116], [0.125, 0.883, 0.616], [0.375, 0.617, 0.616], [0.383, 0.875, 0.116], [0.617, 0.125, 0.884], [0.625, 0.383, 0.384], [0.875, 0.117, 0.384], [0.883, 0.375, 0.884], [0.060, 0.922, 0.119], [0.078, 0.560, 0.619], [0.422, 0.940, 0.619], [0.440, 0.578, 0.119], [0.560, 0.422, 0.881], [0.578, 0.060, 0.381], [0.922, 0.440, 0.381], [0.940, 0.078, 0.881]]
}

{
  "formula": "Nd3ReB7",
  "functional": "PBE",
  "state": "optimized geometry",
  "lattice_angstrom": [[1.816, -8.188, 0.000], [1.816, 8.188, 0.000], [0.000, 0.000, 9.604]],
  "species": ["Nd", "Nd", "Nd", "Nd", "Nd", "Nd", "Re", "Re", "B", "B", "B", "B", "B", "B", "B", "B", "B", "B", "B", "B", "B", "B"],
  "fractional_positions": [[0.104, 0.896, 0.562], [0.104, 0.896, 0.938], [0.243, 0.757, 0.250], [0.757, 0.243, 0.750], [0.896, 0.104, 0.062], [0.896, 0.104, 0.438], [0.056, 0.944, 0.250], [0.944, 0.056, 0.750], [0.274, 0.726, 0.532], [0.274, 0.726, 0.968], [0.368, 0.632, 0.652], [0.368, 0.632, 0.848], [0.465, 0.535, 0.250], [0.476, 0.524, 0.600], [0.476, 0.524, 0.900], [0.524, 0.476, 0.100], [0.524, 0.476, 0.400], [0.535, 0.465, 0.750], [0.632, 0.368, 0.152], [0.632, 0.368, 0.348], [0.726, 0.274, 0.032], [0.726, 0.274, 0.468]]
}

{
  "formula": "NdRe2Si2B",
  "functional": "PBE",
  "state": "optimized geometry",
  "formation_energy_uncorrected_mev_per_atom": -496,
  "lattice_angstrom": [[4.241, 0.000, 0.000], [0.000, 4.241, 0.000], [0.000, 0.000, 5.340]],
  "species": ["Nd", "Re", "Re", "Si", "Si", "B"],
  "fractional_positions": [[0.000, 0.000, 0.000], [0.000, 0.500, 0.500], [0.500, 0.000, 0.500], [0.500, 0.500, 0.231], [0.500, 0.500, 0.769], [0.000, 0.000, 0.500]]
}

{
  "formula": "NdB3Rh3",
  "functional": "PBE",
  "state": "optimized geometry",
  "lattice_angstrom": [[7.082, 0.000, 0.000], [0.000, 7.008, 0.000], [-0.183, 0.000, 8.100]],
  "species": ["Nd", "Nd", "Nd", "Nd", "B", "B", "B", "B", "B", "B", "B", "B", "B", "B", "B", "B", "Rh", "Rh", "Rh", "Rh", "Rh", "Rh", "Rh", "Rh", "Rh", "Rh", "Rh", "Rh"],
  "fractional_positions": [[0.212, 0.000, 0.112], [0.246, 0.597, 0.640], [0.754, 0.097, 0.360], [0.788, 0.500, 0.888], [0.014, 0.616, 0.172], [0.076, 0.893, 0.486], [0.140, 0.300, 0.866], [0.367, 0.261, 0.422], [0.422, 0.700, 0.935], [0.460, 0.166, 0.611], [0.540, 0.666, 0.389], [0.578, 0.200, 0.065], [0.633, 0.761, 0.578], [0.860, 0.800, 0.134], [0.924, 0.393, 0.514], [0.986, 0.116, 0.828], [0.099, 0.373, 0.316], [0.130, 0.180, 0.609], [0.211, 0.534, 0.013], [0.379, 0.929, 0.459], [0.432, 0.264, 0.848], [0.471, 0.396, 0.214], [0.529, 0.896, 0.786], [0.568, 0.764, 0.152], [0.621, 0.429, 0.541], [0.789, 0.034, 0.987], [0.870, 0.680, 0.391], [0.901, 0.873, 0.684]]
}

{
  "formula": "NdB4Rh12",
  "functional": "PBE",
  "state": "optimized geometry",
  "lattice_angstrom": [[-3.900, 3.900, 3.900], [3.900, -3.900, 3.900], [3.900, 3.900, -3.900]],
  "species": ["Nd", "B", "B", "B", "B", "Rh", "Rh", "Rh", "Rh", "Rh", "Rh", "Rh", "Rh", "Rh", "Rh", "Rh", "Rh"],
  "fractional_positions": [[0.000, 0.000, 0.000], [0.000, 0.000, 0.500], [0.000, 0.500, 0.000], [0.500, 0.000, 0.000], [0.500, 0.500, 0.500], [0.150, 0.324, 0.826], [0.174, 0.498, 0.324], [0.174, 0.850, 0.676], [0.324, 0.174, 0.498], [0.324, 0.826, 0.150], [0.498, 0.324, 0.174], [0.502, 0.676, 0.826], [0.676, 0.174, 0.850], [0.676, 0.826, 0.502], [0.826, 0.150, 0.324], [0.826, 0.502, 0.676], [0.850, 0.676, 0.174]]
}

{
  "formula": "NdB4Rh8",
  "functional": "PBE",
  "state": "optimized geometry",
  "lattice_angstrom": [[-4.113, 4.113, 2.454], [4.113, -4.113, 2.454], [4.113, 4.113, -2.454]],
  "species": ["Nd", "B", "B", "B", "B", "Rh", "Rh", "Rh", "Rh", "Rh", "Rh", "Rh", "Rh"],
  "fractional_positions": [[0.000, 0.000, 0.000], [0.000, 0.000, 0.500], [0.000, 0.500, 0.000], [0.500, 0.000, 0.000], [0.500, 0.500, 0.500], [0.000, 0.335, 0.335], [0.000, 0.665, 0.665], [0.274, 0.500, 0.774], [0.335, 0.000, 0.335], [0.500, 0.274, 0.774], [0.500, 0.726, 0.226], [0.665, 0.000, 0.665], [0.726, 0.500, 0.226]]
}

{
  "formula": "Nd2B7Rh12",
  "functional": "PBE",
  "state": "optimized geometry",
  "lattice_angstrom": [[8.971, 0.000, 0.000], [-4.485, 7.769, 0.000], [0.000, 0.000, 3.896]],
  "species": ["Nd", "Nd", "B", "B", "B", "B", "B", "B", "B", "Rh", "Rh", "Rh", "Rh", "Rh", "Rh", "Rh", "Rh", "Rh", "Rh", "Rh", "Rh"],
  "fractional_positions": [[0.000, 0.000, 0.000], [0.333, 0.667, 0.500], [0.089, 0.431, 0.000], [0.281, 0.232, 0.500], [0.342, 0.911, 0.000], [0.569, 0.658, 0.000], [0.667, 0.333, 0.000], [0.768, 0.048, 0.500], [0.952, 0.719, 0.500], [0.065, 0.285, 0.500], [0.091, 0.687, 0.000], [0.220, 0.935, 0.500], [0.313, 0.404, 0.000], [0.400, 0.167, 0.000], [0.540, 0.417, 0.500], [0.583, 0.122, 0.500], [0.596, 0.909, 0.000], [0.715, 0.780, 0.500], [0.767, 0.600, 0.000], [0.833, 0.233, 0.000], [0.878, 0.460, 0.500]]
}

no.,energy (eV for the cell shown)
1,-105.27
2,-183.78
3,-168.46
4,-156.00
5,-50.16
6,-196.19
7,-121.07
8,-90.58
9,-153.48